a | First-principles (PBE) data for KGaP after structural relaxation, as listed in Alexandria via LeMat-Bulk.

Cell: 5.683 3.998 3.998 Å, 120.00 90.00 90.00°
Element x y z (fractional)
Ga (0.229, 0.333, 0.667)
P (0.096, 0.000, 0.000)
K (0.675, 0.667, 0.333)

Fermi-level density of states   1.8 states/eV/f.u.
Crystal system   trigonal

b | First-principles (PBE) data for KGaP after structural relaxation, as listed in Alexandria via LeMat-Bulk.

Cell: 3.897 4.939 8.740 Å, 90.00 102.88 90.00°
Element x y z (fractional)
K (0.677, 0.750, 0.354)
P (0.119, 0.250, 0.239)
P (0.881, 0.750, 0.761)
Ga (0.542, 0.250, 0.083)
K (0.323, 0.250, 0.646)
Ga (0.458, 0.750, 0.917)

Fermi-level density of states   1.4 states/eV/f.u.
Crystal system   orthorhombic

Which structure wins on stability? a wins.

a | First-principles (PBE) data for KGaP after structural relaxation, as listed in Alexandria via LeMat-Bulk.

Cell: 4.709 9.290 9.465 Å, 90.00 90.00 90.00°
Element x y z (fractional)
K (0.999, 0.252, 0.260)
K (0.999, 0.748, 0.260)
K (0.001, 0.748, 0.760)
Ga (0.555, 0.500, 0.009)
P (0.501, 0.500, 0.759)
Ga (0.503, 0.000, 0.510)
Ga (0.445, 0.500, 0.509)
Ga (0.497, 0.000, 0.010)
P (0.499, 0.500, 0.259)
P (0.003, 0.000, 0.510)
K (0.001, 0.252, 0.760)
P (0.997, 0.000, 0.010)

Fermi-level density of states   0.4 states/eV/f.u.
Crystal system   orthorhombic

b | First-principles (PBE) data for KGaP after structural relaxation, as listed in Alexandria via LeMat-Bulk.

Cell: 3.937 7.513 11.016 Å, 90.00 90.00 90.00°
Element x y z (fractional)
Ga (0.250, 0.364, 0.056)
K (0.750, 0.008, 0.192)
K (0.250, 0.492, 0.692)
K (0.750, 0.508, 0.308)
Ga (0.750, 0.636, 0.944)
Ga (0.250, 0.864, 0.444)
Ga (0.750, 0.136, 0.556)
P (0.250, 0.190, 0.430)
P (0.750, 0.810, 0.570)
P (0.750, 0.310, 0.930)
K (0.250, 0.992, 0.808)
P (0.250, 0.690, 0.070)

Fermi-level density of states   0.9 states/eV/f.u.
Crystal system   orthorhombic

Which structure wins on stability? b wins.

a | First-principles (PBE) data for K2GaP after structural relaxation, as listed in Alexandria via LeMat-Bulk.

Cell: 5.481 5.481 5.481 Å, 60.00 60.00 60.00°
Element x y z (fractional)
K (0.250, 0.250, 0.250)
K (0.750, 0.750, 0.750)
P (0.000, 0.000, 0.000)
Ga (0.500, 0.500, 0.500)

Fermi-level density of states   0.0 states/eV/f.u.
Crystal system   cubic

b | First-principles (PBE) data for K2GaP after structural relaxation, as listed in Alexandria via LeMat-Bulk.

Cell: 4.768 4.768 11.501 Å, 78.04 78.04 90.00°
Element x y z (fractional)
K (0.612, 0.125, 0.250)
P (0.250, 0.750, 0.500)
Ga (0.000, 0.000, 0.000)
P (0.500, 0.500, 0.000)
K (0.138, 0.625, 0.250)
K (0.875, 0.862, 0.750)
K (0.375, 0.388, 0.750)
Ga (0.750, 0.250, 0.500)

Fermi-level density of states   3.9 states/eV/f.u.
Crystal system   tetragonal

Which structure wins on stability? a wins.

a | First-principles (PBE) data for KGaP2S after structural relaxation, as listed in Alexandria via LeMat-Bulk.

Cell: 4.819 4.819 5.113 Å, 90.00 90.00 90.00°
Each line ends with the local moment (μB).
Element x y z (fractional)
S (0.000, 0.000, 0.500)  0.15
Ga (0.000, 0.000, 0.000)  0.00
P (0.500, 0.000, 0.000)  0.23
K (0.500, 0.500, 0.500)  0.01
P (0.000, 0.500, 0.000)  0.23

Fermi-level density of states   3.0 states/eV/f.u.
Crystal system   tetragonal

b | First-principles (PBE) data for KGaP2S after structural relaxation, as listed in Alexandria via LeMat-Bulk.

Cell: 5.940 5.940 5.661 Å, 90.00 90.00 90.00°
Each line ends with the local moment (μB).
Element x y z (fractional)
Ga (0.500, 0.500, 0.500)  0.00
S (0.000, 0.000, 0.500)  -0.10
P (0.500, 0.000, 0.000)  -0.99
K (0.000, 0.000, 0.000)  -0.06
P (0.000, 0.500, 0.000)  -0.99

Fermi-level density of states   5.8 states/eV/f.u.
Crystal system   tetragonal

Which structure wins on stability? a wins.

a | First-principles (PBE) data for K2GaPb after structural relaxation, as listed in Alexandria via LeMat-Bulk.

Cell: 3.694 3.694 12.857 Å, 81.74 81.74 60.00°
Element x y z (fractional)
K (0.912, 0.912, 0.264)
K (0.088, 0.088, 0.736)
Ga (0.000, 0.000, 0.000)
Pb (0.500, 0.500, 0.500)

Fermi-level density of states   3.2 states/eV/f.u.
Crystal system   trigonal

b | First-principles (PBE) data for K2GaPb after structural relaxation, as listed in Alexandria via LeMat-Bulk.

Cell: 5.880 5.880 5.880 Å, 60.00 60.00 60.00°
Element x y z (fractional)
Ga (0.000, 0.000, 0.000)
K (0.250, 0.250, 0.250)
Pb (0.500, 0.500, 0.500)
K (0.750, 0.750, 0.750)

Fermi-level density of states   4.4 states/eV/f.u.
Crystal system   cubic

c | First-principles (PBE) data for K2GaPb after structural relaxation, as listed in Alexandria via LeMat-Bulk.

Cell: 4.697 6.624 6.623 Å, 61.12 69.22 69.20°
Element x y z (fractional)
Pb (0.250, 0.183, 0.317)
Ga (0.750, 0.966, 0.534)
K (0.440, 0.486, 0.635)
K (0.061, 0.865, 0.014)

Fermi-level density of states   1.3 states/eV/f.u.
Crystal system   orthorhombic

d | First-principles (PBE) data for K2GaPb after structural relaxation, as listed in Alexandria via LeMat-Bulk.

Cell: 12.751 12.751 9.413 Å, 47.36 47.36 90.00°
Element x y z (fractional)
Pb (0.000, 0.000, 0.000)
Pb (0.750, 0.250, 0.500)
K (0.450, 0.125, 0.250)
K (0.375, 0.550, 0.750)
K (0.875, 0.700, 0.750)
K (0.300, 0.625, 0.250)
Ga (0.500, 0.500, 0.000)
Ga (0.250, 0.750, 0.500)

Fermi-level density of states   1.4 states/eV/f.u.
Crystal system   tetragonal

Which structure wins on stability? c wins.

a | First-principles (PBE) data for KGaPd after structural relaxation, as listed in Alexandria via LeMat-Bulk.

Cell: 5.228 4.293 4.293 Å, 120.00 90.00 90.00°
Element x y z (fractional)
Pd (0.167, 0.667, 0.333)
Ga (0.167, 0.000, 0.000)
K (0.667, 0.333, 0.667)

Fermi-level density of states   1.7 states/eV/f.u.
Crystal system   hexagonal

b | First-principles (PBE) data for KGaPd after structural relaxation, as listed in Alexandria via LeMat-Bulk.

Cell: 3.545 3.545 6.615 Å, 105.54 105.54 90.00°
Element x y z (fractional)
K (0.000, 0.000, 0.001)
Ga (0.262, 0.262, 0.525)
Pd (0.737, 0.737, 0.475)

Fermi-level density of states   0.9 states/eV/f.u.
Crystal system   tetragonal

c | First-principles (PBE) data for KGaPd after structural relaxation, as listed in Alexandria via LeMat-Bulk.

Cell: 4.330 4.330 8.422 Å, 90.00 90.00 90.00°
Element x y z (fractional)
Ga (0.000, 0.500, 0.338)
Pd (0.000, 0.000, 0.500)
K (0.500, 0.000, 0.164)
Pd (0.500, 0.500, 0.500)
K (0.000, 0.500, 0.836)
Ga (0.500, 0.000, 0.662)

Fermi-level density of states   0.8 states/eV/f.u.
Crystal system   tetragonal

Which structure wins on stability? c wins.

a | First-principles (PBE) data for KGa3Pd after structural relaxation, as listed in Alexandria via LeMat-Bulk.

Cell: 6.526 8.483 8.483 Å, 96.41 83.43 83.43°
Element x y z (fractional)
Ga (0.520, 0.982, 0.754)
Ga (0.075, 0.022, 0.748)
Ga (0.480, 0.018, 0.246)
Ga (0.642, 0.132, 0.496)
Ga (0.358, 0.868, 0.504)
Ga (0.858, 0.504, 0.868)
K (0.389, 0.539, 0.726)
Ga (0.925, 0.978, 0.252)
Pd (0.250, 0.766, 0.234)
Ga (0.425, 0.252, 0.978)
Pd (0.250, 0.992, 0.008)
Ga (0.020, 0.754, 0.982)
K (0.611, 0.461, 0.274)
K (0.889, 0.726, 0.539)
Pd (0.750, 0.008, 0.992)
Ga (0.575, 0.748, 0.022)
K (0.111, 0.274, 0.461)
Ga (0.980, 0.246, 0.018)
Ga (0.142, 0.496, 0.132)
Pd (0.750, 0.234, 0.766)

Fermi-level density of states   1.6 states/eV/f.u.
Crystal system   monoclinic

b | First-principles (PBE) data for KGa3Pd after structural relaxation, as listed in Alexandria via LeMat-Bulk.

Cell: 5.547 5.547 5.547 Å, 90.00 90.00 90.00°
Element x y z (fractional)
Ga (0.000, 0.500, 0.000)
Ga (0.000, 0.000, 0.500)
Ga (0.500, 0.000, 0.000)
K (0.000, 0.000, 0.000)
Pd (0.500, 0.500, 0.500)

Fermi-level density of states   5.7 states/eV/f.u.
Crystal system   cubic

c | First-principles (PBE) data for KGa3Pd after structural relaxation, as listed in Alexandria via LeMat-Bulk.

Cell: 4.982 4.982 4.982 Å, 90.00 90.00 90.00°
Element x y z (fractional)
Ga (0.500, 0.000, 0.000)
Ga (0.000, 0.000, 0.500)
K (0.500, 0.500, 0.500)
Ga (0.000, 0.500, 0.000)
Pd (0.000, 0.000, 0.000)

Fermi-level density of states   2.8 states/eV/f.u.
Crystal system   cubic

Which structure wins on stability? a wins.

a | First-principles (PBE) data for KGaPd3 after structural relaxation, as listed in Alexandria via LeMat-Bulk.

Cell: 4.799 4.799 4.799 Å, 90.00 90.00 90.00°
Element x y z (fractional)
Pd (0.000, 0.500, 0.000)
Pd (0.000, 0.000, 0.500)
Ga (0.000, 0.000, 0.000)
K (0.500, 0.500, 0.500)
Pd (0.500, 0.000, 0.000)

Fermi-level density of states   1.5 states/eV/f.u.
Crystal system   cubic

b | First-principles (PBE) data for KGaPd3 after structural relaxation, as listed in Alexandria via LeMat-Bulk.

Cell: 5.001 5.001 5.001 Å, 90.00 90.00 90.00°
Element x y z (fractional)
K (0.000, 0.000, 0.000)
Ga (0.500, 0.500, 0.500)
Pd (0.000, 0.500, 0.000)
Pd (0.000, 0.000, 0.500)
Pd (0.500, 0.000, 0.000)

Fermi-level density of states   0.4 states/eV/f.u.
Crystal system   cubic

Which structure wins on stability? a wins.

a | First-principles (PBE) data for KGa3Pt after structural relaxation, as listed in Alexandria via LeMat-Bulk.

Cell: 4.986 4.986 4.986 Å, 90.00 90.00 90.00°
Element x y z (fractional)
Pt (0.000, 0.000, 0.000)
Ga (0.000, 0.500, 0.000)
Ga (0.000, 0.000, 0.500)
Ga (0.500, 0.000, 0.000)
K (0.500, 0.500, 0.500)

Fermi-level density of states   2.9 states/eV/f.u.
Crystal system   cubic

b | First-principles (PBE) data for KGa3Pt after structural relaxation, as listed in Alexandria via LeMat-Bulk.

Cell: 5.454 5.454 5.454 Å, 90.00 90.00 90.00°
Element x y z (fractional)
Ga (0.500, 0.000, 0.000)
K (0.000, 0.000, 0.000)
Ga (0.000, 0.500, 0.000)
Ga (0.000, 0.000, 0.500)
Pt (0.500, 0.500, 0.500)

Fermi-level density of states   5.8 states/eV/f.u.
Crystal system   cubic

c | First-principles (PBE) data for KGa3Pt after structural relaxation, as listed in Alexandria via LeMat-Bulk.

Cell: 4.552 4.553 6.233 Å, 68.15 68.17 89.61°
Element x y z (fractional)
Ga (0.642, 0.945, 0.422)
Pt (0.032, 0.836, 0.640)
Ga (0.141, 0.446, 0.422)
K (0.397, 0.200, 0.913)
Ga (0.796, 0.599, 0.115)

Fermi-level density of states   2.3 states/eV/f.u.
Crystal system   monoclinic

Which structure wins on stability? c wins.

a | First-principles (PBE) data for KGa4Pt2 after structural relaxation, as listed in Alexandria via LeMat-Bulk.

Cell: 4.476 6.776 17.480 Å, 90.00 90.00 90.00°
Element x y z (fractional)
Ga (0.250, 0.813, 0.187)
Ga (0.250, 0.345, 0.036)
Ga (0.750, 0.721, 0.311)
Ga (0.250, 0.687, 0.687)
Ga (0.750, 0.523, 0.568)
K (0.750, 0.989, 0.641)
K (0.750, 0.511, 0.141)
K (0.250, 0.011, 0.359)
Ga (0.250, 0.023, 0.932)
Pt (0.250, 0.742, 0.535)
Ga (0.750, 0.313, 0.313)
Ga (0.250, 0.279, 0.689)
Ga (0.250, 0.221, 0.189)
Ga (0.750, 0.845, 0.464)
Pt (0.250, 0.518, 0.287)
Pt (0.250, 0.758, 0.035)
Ga (0.250, 0.477, 0.432)
Ga (0.750, 0.187, 0.813)
Pt (0.750, 0.258, 0.465)
Ga (0.750, 0.655, 0.964)
Pt (0.750, 0.018, 0.213)
K (0.250, 0.489, 0.859)
Ga (0.750, 0.977, 0.068)
Pt (0.250, 0.982, 0.787)
Pt (0.750, 0.482, 0.713)
Ga (0.750, 0.779, 0.811)
Ga (0.250, 0.155, 0.536)
Pt (0.750, 0.242, 0.965)

Fermi-level density of states   2.8 states/eV/f.u.
Crystal system   orthorhombic

b | First-principles (PBE) data for KGa4Pt2 after structural relaxation, as listed in Alexandria via LeMat-Bulk.

Cell: 7.026 7.026 7.026 Å, 111.02 106.41 111.02°
Element x y z (fractional)
Ga (0.544, 0.729, 0.986)
Pt (0.565, 0.440, 0.625)
Ga (0.014, 0.558, 0.743)
Pt (0.875, 0.060, 0.435)
Ga (0.736, 0.229, 0.794)
K (0.750, 0.500, 0.250)
Ga (0.206, 0.942, 0.435)
Ga (0.257, 0.271, 0.815)
Ga (0.185, 0.442, 0.456)
Pt (0.185, 0.560, 0.125)
Ga (0.565, 0.771, 0.507)
Ga (0.493, 0.058, 0.264)
Pt (0.375, 0.940, 0.815)
K (0.000, 0.000, 0.000)

Fermi-level density of states   1.9 states/eV/f.u.
Crystal system   tetragonal

Which structure wins on stability? a wins.